Record 1
Entry from the Alexandria database: a relaxed Pm2TmZn2 crystal (PBE-GGA).

Structure (POSCAR):
```
Pm2TmZn2
1.0
3.532 0.000 0.000
0.000 3.547 0.672
0.000 -0.121 10.336
Pm Tm Zn
2 1 2
direct
0.000 0.173 0.653
0.000 0.827 0.347
0.000 0.000 0.000
0.500 0.419 0.162
0.500 0.581 0.838
```

Values from the calculation:
Its total energy is -3.502 eV/atom. The calculation puts the distance to the lowest polymorph of the same formula at 0.000 eV/atom. The symmetry is Cmmm (65).

Record 2
Entry from the Alexandria database: a relaxed Ti2Be2CoNi5 crystal (PBE-GGA).

Structure (POSCAR):
```
Ti2Be2CoNi5
1.0
-0.986 1.364 -2.856
-7.846 -0.862 2.297
0.203 7.442 3.485
Ti Be Co Ni
4 4 2 10
direct
0.000 0.681 0.181
0.000 0.319 0.819
0.000 0.181 0.319
0.000 0.819 0.681
0.000 0.116 0.616
0.000 0.884 0.384
0.000 0.616 0.884
0.000 0.384 0.116
0.000 0.000 0.000
0.000 0.500 0.500
0.500 0.209 0.069
0.500 0.791 0.931
0.500 0.069 0.791
0.500 0.709 0.431
0.500 0.931 0.209
0.500 0.291 0.569
0.500 0.569 0.709
0.500 0.431 0.291
0.500 0.500 0.000
0.500 0.000 0.500
```

Values from the calculation:
Its total energy is -6.221 eV/atom. The symmetry is P4/mbm (127).

Record 3
Entry from the Alexandria database: a relaxed HoInHgPd crystal (PBE-GGA).

Structure (POSCAR):
```
HoInHgPd
1.0
-4.548 -1.546 1.141
-0.827 -2.274 4.304
-2.566 2.284 3.545
In Hg Pd Ho
1 1 1 1
direct
0.750 0.750 0.750
0.500 0.500 0.500
0.000 0.000 0.000
0.250 0.250 0.250
```

Values from the calculation:
Its total energy is -3.765 eV/atom. The symmetry is F-43m (216).

Record 4
Entry from the Alexandria database: a relaxed RbAs3P crystal (PBE-GGA).

Structure (POSCAR):
```
RbAs3P
1.0
5.025 0.000 0.000
0.000 5.025 0.000
0.000 0.000 5.025
P As Rb
1 3 1
direct
0.000 0.000 0.000
0.000 0.500 0.000
0.000 0.000 0.500
0.500 0.000 0.000
0.500 0.500 0.500
```

Values from the calculation:
Its total energy is -3.682 eV/atom. The calculation puts the distance to the lowest polymorph of the same formula at 0.547 eV/atom. The symmetry is Pm-3m (221).

Record 5
Entry from the Alexandria database: a relaxed TaHg2As crystal (PBE-GGA).

Structure (POSCAR):
```
TaHg2As
1.0
5.146 0.021 0.045
3.979 3.264 0.045
1.789 0.644 5.000
As Hg Ta
1 2 1
direct
0.219 0.219 0.364
0.001 0.001 0.965
0.768 0.768 0.775
0.512 0.512 0.396
```

Values from the calculation:
Its total energy is -4.044 eV/atom. The symmetry is Cm (8).